[1]
Computed, not measured: a relaxed structure of Pm4Ga3Ge5 at the PBE level of DFT.

Cell and atoms, written as extended XYZ:
```
12
Lattice="6.982 -2.297 0.000 6.982 2.297 0.000 -6.426 0.000 9.879" Properties=species:S:1:pos:R:3 pbc="T T T"
Pm -1.393 0.000 4.512
Pm -1.914 0.000 8.188
Pm 9.452 0.000 1.691
Pm 8.931 0.000 5.367
Ga 0.000 0.000 0.000
Ga 4.694 0.000 1.323
Ga 2.843 0.000 8.556
Ge 1.215 0.000 3.272
Ge 3.668 0.000 3.660
Ge 6.982 0.000 0.000
Ge 3.869 0.000 6.219
Ge 6.322 0.000 6.607
```

## Properties
- N(E_F): 7.0 states/eV/f.u.
- Spin magnetization: 0.000 μB per cell
- E: -55.2 eV for the cell shown



[2]
Computed, not measured: a relaxed structure of PmGa2Ge3 at the PBE level of DFT.

Cell and atoms, written as extended XYZ:
```
12
Lattice="4.206 0.000 0.000 0.000 14.353 0.000 0.000 0.000 4.153" Properties=species:S:1:pos:R:3 pbc="T T T"
Pm 1.051 3.588 1.033
Pm 3.154 10.765 3.120
Ga 1.051 8.409 3.126
Ga 1.051 13.121 3.126
Ga 3.154 1.233 1.027
Ga 3.154 5.944 1.027
Ge 1.051 1.310 3.105
Ge 1.051 5.867 3.105
Ge 1.051 10.765 1.043
Ge 3.154 3.588 3.110
Ge 3.154 8.487 1.048
Ge 3.154 13.043 1.048
```

## Properties
- N(E_F): 1.8 states/eV/f.u.
- Spin magnetization: 0.000 μB per cell
- E: -52.2 eV for the cell shown



[3]
Computed, not measured: a relaxed structure of Pm6GaGe3 at the PBE level of DFT.

Cell and atoms, written as extended XYZ:
```
20
Lattice="11.862 0.000 0.000 0.000 4.306 0.000 -3.909 0.000 11.790" Properties=species:S:1:pos:R:3 pbc="T T T"
Pm -1.181 1.076 4.645
Pm -2.429 1.076 11.168
Pm 1.714 3.229 3.254
Pm 0.500 3.229 8.952
Pm 2.442 1.076 6.512
Pm 4.604 3.229 1.205
Pm 3.349 1.076 10.585
Pm 5.512 3.229 5.278
Pm 7.453 1.076 2.838
Pm 6.240 1.076 8.537
Pm 10.382 3.229 0.622
Pm 9.134 3.229 7.145
Ga 4.090 1.076 3.552
Ga 3.863 3.229 8.238
Ge -0.030 1.076 2.001
Ge 0.337 3.229 5.941
Ge 0.461 1.076 10.901
Ge 7.493 3.229 0.890
Ge 7.617 1.076 5.849
Ge 7.984 3.229 9.789
```

## Properties
- N(E_F): 7.9 states/eV/f.u.
- Spin magnetization: 0.004 μB per cell
- E: -102.0 eV for the cell shown



[4]
Computed, not measured: a relaxed structure of Pm12GaGe6 at the PBE level of DFT.

Cell and atoms, written as extended XYZ:
```
19
Lattice="-5.127 5.127 5.127 5.127 -5.127 5.127 5.127 5.127 -5.127" Properties=species:S:1:pos:R:3 pbc="T T T"
Pm 5.127 3.214 -2.126
Pm 3.002 0.000 1.913
Pm 7.253 0.000 1.913
Pm 1.913 3.002 0.000
Pm 3.214 -2.126 5.127
Pm 0.000 1.913 3.002
Pm 5.127 3.214 2.126
Pm 1.913 7.253 0.000
Pm 3.214 2.126 5.127
Pm -2.126 5.127 3.214
Pm 2.126 5.127 3.214
Pm 0.000 1.913 7.253
Ga 0.000 0.000 0.000
Ge 5.127 1.240 0.000
Ge 5.127 0.000 3.887
Ge 3.887 5.127 0.000
Ge 1.240 0.000 5.127
Ge 0.000 5.127 1.240
Ge 0.000 3.887 5.127
```

## Properties
- N(E_F): 11.5 states/eV/f.u.
- Spin magnetization: 0.000 μB per cell
- E: -98.5 eV for the cell shown



> Which of these has the highest E?

PmGa2Ge3



> Among the records above, which one has the highest N(E_F)?

Pm12GaGe6



> The highest E belongs to which entry?

PmGa2Ge3